Record 1
VASP calculation (GGA-PBE) on an optimized crystal structure of TaV3Ir.

For the density of states at the Fermi level, the calculation gives 1.3345 states/eV/atom. The calculation puts the relative energy among the computed polymorphs at 0 meV/atom. The space-group type is Pm-3m. The value obtained for the total energy is -42.657 eV/cell. As for the crystal system: cubic.

a b c (Å): 4.558 4.558 4.558
angles (deg): 90.00 90.00 90.00
Last column: magnetic moment on the atom in μB.
Element x y z (fractional)
V 0.000 0.000 0.500  0.62
Ta 0.500 0.500 0.500  -0.06
V 0.000 0.500 0.000  0.62
V 0.500 0.000 0.000  0.62
Ir 0.000 0.000 0.000  -0.06

Record 2
VASP calculation (GGA-PBE) on an optimized crystal structure of MnAgH2.

For the density of states at the Fermi level, the calculation gives 0.2690 states/eV/atom. The calculation puts the relative energy among the computed polymorphs at 0 meV/atom. The space-group type is R-3m. The value obtained for the total energy is -18.366 eV/cell. As for the crystal system: trigonal.

a b c (Å): 2.875 2.875 5.470
angles (deg): 74.77 74.77 60.00
Last column: magnetic moment on the atom in μB.
Element x y z (fractional)
H 0.126 0.126 0.621  -0.03
Mn 0.500 0.500 0.500  2.79
Ag 0.000 0.000 0.000  -0.03
H 0.874 0.874 0.379  -0.03

Record 3
VASP calculation (GGA-PBE) on an optimized crystal structure of BeOsW2.

For the density of states at the Fermi level, the calculation gives 0.4210 states/eV/atom. The space-group type is R3m. The value obtained for the total energy is -39.855 eV/cell. As for the crystal system: trigonal.

a b c (Å): 8.749 8.749 8.749
angles (deg): 18.23 18.23 18.23
Element x y z (fractional)
Be 0.496 0.496 0.496
W 0.005 0.005 0.005
Os 0.757 0.757 0.757
W 0.242 0.242 0.242

Copy entry 1 word for word.
VASP calculation (GGA-PBE) on an optimized crystal structure of TaV3Ir.

For the density of states at the Fermi level, the calculation gives 1.3345 states/eV/atom. The calculation puts the relative energy among the computed polymorphs at 0 meV/atom. The space-group type is Pm-3m. The value obtained for the total energy is -42.657 eV/cell. As for the crystal system: cubic.

a b c (Å): 4.558 4.558 4.558
angles (deg): 90.00 90.00 90.00
Last column: magnetic moment on the atom in μB.
Element x y z (fractional)
V 0.000 0.000 0.500  0.62
Ta 0.500 0.500 0.500  -0.06
V 0.000 0.500 0.000  0.62
V 0.500 0.000 0.000  0.62
Ir 0.000 0.000 0.000  -0.06